# Dy2PuMg PBE optimized geometry
# Energy relative to the lowest polymorph listed for this composition (eV/f.u.): 0.376
# Volume (Å³/atom): 28.57
# Energy of formation from the pure elements (kcal/mol of atoms): 3.37
data_Dy2PuMg
_space_group_name_H-M_alt 'F m -3 m'
_space_group_IT_number 225
_space_group_name_Hall '-F 4 2 3'
_cell_length_a 7.7036
_cell_length_b 7.7036
_cell_length_c 7.7036
_cell_angle_alpha 90.00
_cell_angle_beta 90.00
_cell_angle_gamma 90.00
loop_
_atom_site_label
_atom_site_type_symbol
_atom_site_fract_x
_atom_site_fract_y
_atom_site_fract_z
Dy1 Dy 0.2500 0.2500 0.2500
Pu1 Pu 0.0000 0.0000 0.0000
Mg1 Mg 0.0000 0.0000 0.5000